# 1
# Tb3Mn5Sn12

A relaxed structure of Tb3Mn5Sn12 (PBE-GGA, the Alexandria database).

Results
The total energy comes out at -5.11 eV/atom. The total magnetic moment comes out at 63.17 μB per cell. The formation energy comes out at 5.55 eV/f.u.

abc: 14.4128 14.4128 14.4128
angles: 109.47 109.47 109.47
Site moments in Bohr magnetons follow the coordinates.
Atoms (fractional coordinates):
1 Tb 0.7500 0.3750 0.1250  -0.04
2 Tb 0.8750 0.7500 0.1250  -0.04
3 Tb 0.3750 0.7500 0.6250  -0.04
4 Tb 0.2500 0.1250 0.3750  -0.04
5 Tb 0.8750 0.1250 0.2500  -0.04
6 Tb 0.3750 0.6250 0.2500  -0.04
7 Tb 0.6250 0.3750 0.7500  -0.04
8 Tb 0.1250 0.8750 0.7500  -0.04
9 Tb 0.7500 0.8750 0.6250  -0.04
10 Tb 0.6250 0.2500 0.3750  -0.04
11 Tb 0.1250 0.2500 0.8750  -0.04
12 Tb 0.2500 0.6250 0.8750  -0.04
13 Mn 0.1250 0.3750 0.2500  3.48
14 Mn 0.0000 0.5000 0.0000  2.89
15 Mn 0.0000 0.0000 0.0000  2.89
16 Mn 0.3750 0.2500 0.1250  3.48
17 Mn 0.5000 0.0000 0.5000  2.89
18 Mn 0.5000 0.5000 0.0000  2.89
19 Mn 0.1250 0.7500 0.3750  3.48
20 Mn 0.7500 0.1250 0.8750  3.48
21 Mn 0.7500 0.6250 0.3750  3.48
22 Mn 0.3750 0.1250 0.7500  3.48
23 Mn 0.6250 0.8750 0.2500  3.48
24 Mn 0.5000 0.5000 0.5000  2.89
25 Mn 0.5000 0.0000 0.0000  2.89
26 Mn 0.0000 0.0000 0.5000  2.89
27 Mn 0.2500 0.3750 0.6250  3.48
28 Mn 0.2500 0.8750 0.1250  3.48
29 Mn 0.0000 0.5000 0.5000  2.89
30 Mn 0.8750 0.2500 0.6250  3.48
31 Mn 0.6250 0.7500 0.8750  3.48
32 Mn 0.8750 0.6250 0.7500  3.48
33 Sn 0.7056 0.0950 0.0286  -0.09
34 Sn 0.3230 0.5286 0.4336  -0.09
35 Sn 0.9714 0.4050 0.2944  -0.09
36 Sn 0.5286 0.2056 0.0950  -0.09
37 Sn 0.6106 0.7056 0.6770  -0.09
38 Sn 0.9714 0.5664 0.1770  -0.09
39 Sn 0.3230 0.7944 0.3894  -0.09
40 Sn 0.0664 0.8894 0.0950  -0.09
41 Sn 0.5664 0.9714 0.6770  -0.09
42 Sn 0.7056 0.6106 0.1770  -0.09
43 Sn 0.7944 0.4714 0.4050  -0.09
44 Sn 0.8230 0.9336 0.0286  -0.09
45 Sn 0.0950 0.7056 0.5286  -0.09
46 Sn 0.4050 0.4336 0.1106  -0.09
47 Sn 0.1106 0.9336 0.4050  -0.09
48 Sn 0.3894 0.0950 0.5664  -0.09
49 Sn 0.1106 0.1770 0.2056  -0.09
50 Sn 0.4714 0.6770 0.0664  -0.09
51 Sn 0.8230 0.8894 0.2944  -0.09
52 Sn 0.0950 0.3894 0.0664  -0.09
53 Sn 0.4050 0.9714 0.7944  -0.09
54 Sn 0.5664 0.5950 0.3894  -0.09
55 Sn 0.9336 0.8230 0.5286  -0.09
56 Sn 0.7944 0.3230 0.8894  -0.09
57 Sn 0.4336 0.4050 0.6106  -0.09
58 Sn 0.0664 0.1770 0.4714  -0.09
59 Sn 0.2056 0.6770 0.1106  -0.09
60 Sn 0.1770 0.1106 0.7056  -0.09
61 Sn 0.5950 0.0286 0.2056  -0.09
62 Sn 0.9050 0.6106 0.9336  -0.09
63 Sn 0.5286 0.3230 0.9336  -0.09
64 Sn 0.6106 0.9050 0.4336  -0.09
65 Sn 0.8894 0.8230 0.7944  -0.09
66 Sn 0.8894 0.0664 0.5950  -0.09
67 Sn 0.9050 0.2944 0.4714  -0.09
68 Sn 0.1770 0.0664 0.9714  -0.09
69 Sn 0.5950 0.5664 0.8894  -0.09
70 Sn 0.4336 0.0286 0.3230  -0.09
71 Sn 0.2944 0.3894 0.8230  -0.09
72 Sn 0.2056 0.5286 0.5950  -0.09
73 Sn 0.9336 0.1106 0.9050  -0.09
74 Sn 0.6770 0.2056 0.6106  -0.09
75 Sn 0.4714 0.7944 0.9050  -0.09
76 Sn 0.0286 0.4336 0.8230  -0.09
77 Sn 0.3894 0.2944 0.3230  -0.09
78 Sn 0.0286 0.5950 0.7056  -0.09
79 Sn 0.6770 0.4714 0.5664  -0.09
80 Sn 0.2944 0.9050 0.9714  -0.09


# 2
# ZnCuPd5

A relaxed structure of ZnCuPd5 (PBE-GGA, the Alexandria database).

Results
The total energy comes out at -4.55 eV/atom. The total magnetic moment comes out at 0.00 μB per cell. The formation energy comes out at -0.52 eV/f.u.

abc: 4.2378 4.2378 6.1526
angles: 90.00 90.00 90.00
Atoms (fractional coordinates):
1 Zn 0.5000 0.5000 0.5000
2 Cu 0.0000 0.0000 0.0000
3 Pd 0.5000 0.0000 0.2302
4 Pd 0.0000 0.5000 0.2302
5 Pd 0.0000 0.0000 0.5000
6 Pd 0.0000 0.5000 0.7698
7 Pd 0.5000 0.0000 0.7698


# 3
# CaTlBiPb

A relaxed structure of CaTlBiPb (PBE-GGA, the Alexandria database).

Results
The total energy comes out at -3.31 eV/atom. The total magnetic moment comes out at 0.00 μB per cell. The formation energy comes out at -1.28 eV/f.u.

abc: 4.9831 4.9837 6.0798
angles: 114.44 114.19 90.00
Atoms (fractional coordinates):
1 Ca 0.5000 0.5001 0.0000
2 Tl 0.7500 0.2494 0.4999
3 Bi 0.2500 0.7520 0.5000
4 Pb 0.0000 0.9985 0.0000


# 4
# Cs2LiGeB

A relaxed structure of Cs2LiGeB (PBE-GGA, the Alexandria database).

Results
The total energy comes out at -1.91 eV/atom. The total magnetic moment comes out at 1.51 μB per cell. The formation energy comes out at 5.35 eV/f.u.

abc: 6.3980 6.3980 4.8951
angles: 90.00 90.00 90.00
Site moments in Bohr magnetons follow the coordinates.
Atoms (fractional coordinates):
1 Cs 0.0000 0.5000 0.0000  0.03
2 Cs 0.5000 0.0000 0.0000  0.03
3 Ge 0.0000 0.0000 0.5000  0.23
4 B 0.5000 0.5000 0.5000  0.23
5 Li 0.0000 0.0000 0.0000  0.01


# 5
# V9Fe4Ir11

A relaxed structure of V9Fe4Ir11 (PBE-GGA, the Alexandria database).

Results
The total energy comes out at -9.17 eV/atom. The total magnetic moment comes out at 0.01 μB per cell. The formation energy comes out at -6.57 eV/f.u.

abc: 3.7134 9.7535 9.7535
angles: 112.13 90.00 90.00
Atoms (fractional coordinates):
1 V 0.5000 0.6201 0.1341
2 V 0.5000 0.3799 0.8659
3 V 0.5000 0.1341 0.6201
4 V 0.5000 0.8659 0.3799
5 V 0.5000 0.7860 0.9544
6 V 0.5000 0.2140 0.0456
7 V 0.5000 0.9544 0.7860
8 V 0.5000 0.0456 0.2140
9 V 0.5000 0.5000 0.5000
10 Fe 0.5000 0.5539 0.7428
11 Fe 0.5000 0.4461 0.2572
12 Fe 0.5000 0.7428 0.5539
13 Fe 0.5000 0.2572 0.4461
14 Ir 0.0000 0.5841 0.9172
15 Ir 0.0000 0.4159 0.0828
16 Ir 0.0000 0.9172 0.5841
17 Ir 0.0000 0.0828 0.4159
18 Ir 0.0000 0.6509 0.3491
19 Ir 0.0000 0.3491 0.6509
20 Ir 0.0000 0.8283 0.1717
21 Ir 0.0000 0.1717 0.8283
22 Ir 0.0000 0.0000 0.0000
23 Ir 0.0000 0.7386 0.7386
24 Ir 0.0000 0.2614 0.2614


# 6
# NaGaNO2

A relaxed structure of NaGaNO2 (PBE-GGA, the Alexandria database).

Results
The total energy comes out at -4.77 eV/atom. The total magnetic moment comes out at 3.00 μB per cell. The value obtained for the uncorrected formation energy is -1.28 eV per formula unit.

abc: 3.9308 3.9308 4.0184
angles: 90.00 90.00 90.00
Site moments in Bohr magnetons follow the coordinates.
Atoms (fractional coordinates):
1 Na 0.5000 0.5000 0.5000  0.00
2 O 0.0000 0.5000 0.0000  0.54
3 O 0.5000 0.0000 0.0000  0.54
4 Ga 0.0000 0.0000 0.0000  -0.02
5 N 0.0000 0.0000 0.5000  1.23


# 7
# Tm4ZnFe

A relaxed structure of Tm4ZnFe (PBE-GGA, the Alexandria database).

Results
The total energy comes out at -4.74 eV/atom. The total magnetic moment comes out at 0.00 μB per cell. The formation energy comes out at -0.84 eV/f.u.

abc: 5.9798 7.3383 7.3383
angles: 111.37 98.48 98.48
Atoms (fractional coordinates):
1 Tm 0.9071 0.6320 0.7925
2 Tm 0.0388 0.9365 0.2717
3 Tm 0.5929 0.2075 0.3680
4 Tm 0.4612 0.7283 0.0635
5 Tm 0.5388 0.2717 0.9365
6 Tm 0.4071 0.7925 0.6320
7 Tm 0.9612 0.0635 0.7283
8 Tm 0.0929 0.3680 0.2075
9 Zn 0.7500 0.6282 0.3718
10 Zn 0.2500 0.3718 0.6282
11 Fe 0.2500 0.9978 0.0022
12 Fe 0.7500 0.0022 0.9978


# 8
# Pm3Pr5Y3

A relaxed structure of Pm3Pr5Y3 (PBE-GGA, the Alexandria database).

Results
The total energy comes out at -4.92 eV/atom. The total magnetic moment comes out at 0.00 μB per cell. The formation energy comes out at 3.41 eV/f.u.

abc: 3.4853 11.4729 11.4729
angles: 120.00 90.00 90.00
Atoms (fractional coordinates):
1 Pm 0.0000 0.5953 0.0000
2 Pm 0.0000 0.0000 0.5953
3 Pm 0.0000 0.4047 0.4047
4 Pr 0.5000 0.6667 0.3333
5 Pr 0.5000 0.3333 0.6667
6 Pr 0.5000 0.3384 0.0000
7 Pr 0.5000 0.6616 0.6616
8 Pr 0.5000 0.0000 0.3384
9 Y 0.5000 0.8395 0.0000
10 Y 0.5000 0.1605 0.1605
11 Y 0.5000 0.0000 0.8395


# 9
# TlCd2ReP

A relaxed structure of TlCd2ReP (PBE-GGA, the Alexandria database).

Results
The total energy comes out at -3.07 eV/atom. The total magnetic moment comes out at 3.08 μB per cell. The formation energy comes out at 6.69 eV/f.u.

abc: 5.3013 5.2840 5.3013
angles: 90.00 90.00 90.00
Site moments in Bohr magnetons follow the coordinates.
Atoms (fractional coordinates):
1 Re 0.0000 0.0000 0.0000  1.64
2 Tl 0.0000 0.5000 0.0000  -0.01
3 P 0.5000 0.5000 0.5000  0.57
4 Cd 0.0000 0.0000 0.5000  0.01
5 Cd 0.5000 0.0000 0.0000  -0.01


# 10
# KZrGaBr6

A relaxed structure of KZrGaBr6 (PBE-GGA, the Alexandria database).

Results
The total energy comes out at -3.83 eV/atom. The total magnetic moment comes out at 0.00 μB per cell. The value obtained for the uncorrected formation energy is -11.72 eV per formula unit.

abc: 7.5835 7.5835 13.7876
angles: 90.00 90.00 120.00
Atoms (fractional coordinates):
1 K 0.0000 0.0000 0.0000
2 K 0.0000 0.0000 0.5000
3 Zr 0.6667 0.3333 0.2500
4 Zr 0.3333 0.6667 0.7500
5 Ga 0.3333 0.6667 0.2500
6 Ga 0.6667 0.3333 0.7500
7 Br 0.6566 0.6147 0.1390
8 Br 0.9581 0.3434 0.1390
9 Br 0.3434 0.9581 0.6390
10 Br 0.0419 0.6566 0.8610
11 Br 0.3853 0.3434 0.3610
12 Br 0.9581 0.6147 0.3610
13 Br 0.6147 0.9581 0.8610
14 Br 0.6566 0.0419 0.3610
15 Br 0.0419 0.3853 0.6390
16 Br 0.3853 0.0419 0.1390
17 Br 0.6147 0.6566 0.6390
18 Br 0.3434 0.3853 0.8610


# 11
# ScTlNi2B

A relaxed structure of ScTlNi2B (PBE-GGA, the Alexandria database).

Results
The total energy comes out at -4.22 eV/atom. The total magnetic moment comes out at 0.00 μB per cell. The formation energy comes out at 5.85 eV/f.u.

abc: 4.7749 4.1181 4.7749
angles: 90.00 90.00 90.00
Atoms (fractional coordinates):
1 Sc 0.5000 0.5000 0.5000
2 Ni 0.0000 0.0000 0.5000
3 Ni 0.5000 0.0000 0.0000
4 Tl 0.0000 0.0000 0.0000
5 B 0.0000 0.5000 0.0000


# 12
# Ti6MnAl

A relaxed structure of Ti6MnAl (PBE-GGA, the Alexandria database).

Results
The total energy comes out at -7.33 eV/atom. The total magnetic moment comes out at 0.00 μB per cell. The formation energy comes out at 1.64 eV/f.u.

abc: 5.5994 5.5994 5.6100
angles: 104.15 104.15 119.02
Atoms (fractional coordinates):
1 Ti 0.2616 0.2616 0.7333
2 Ti 0.4793 0.0482 0.2573
3 Ti 0.7384 0.7384 0.2667
4 Ti 0.9518 0.5207 0.7427
5 Ti 0.5207 0.9518 0.7427
6 Ti 0.0482 0.4793 0.2573
7 Mn 0.5000 0.5000 0.5000
8 Al 0.0000 0.0000 0.0000


# 13
# PmHo3Ir

A relaxed structure of PmHo3Ir (PBE-GGA, the Alexandria database).

Results
The total energy comes out at -5.77 eV/atom. The total magnetic moment comes out at 0.00 μB per cell. The formation energy comes out at -1.48 eV/f.u.

abc: 5.4227 5.4227 5.4227
angles: 90.00 90.00 90.00
Atoms (fractional coordinates):
1 Ir 0.0000 0.0000 0.0000
2 Ho 0.0000 0.5000 0.0000
3 Ho 0.0000 0.0000 0.5000
4 Ho 0.5000 0.0000 0.0000
5 Pm 0.5000 0.5000 0.5000


# 14
# TbDy7Ho4

A relaxed structure of TbDy7Ho4 (PBE-GGA, the Alexandria database).

Results
The total energy comes out at -4.31 eV/atom. The total magnetic moment comes out at 0.00 μB per cell. The formation energy comes out at 3.45 eV/f.u.

abc: 5.8383 11.4690 6.6511
angles: 83.49 63.97 75.25
Atoms (fractional coordinates):
1 Tb 0.0000 0.0000 0.0000
2 Dy 0.7884 0.9231 0.5000
3 Dy 0.2116 0.0769 0.5000
4 Dy 0.0610 0.6773 0.2006
5 Dy 0.9390 0.3227 0.7994
6 Dy 0.3669 0.5011 0.7650
7 Dy 0.5000 0.0000 0.0000
8 Dy 0.6331 0.4989 0.2350
9 Ho 0.6366 0.2247 0.5022
10 Ho 0.3634 0.7753 0.4978
11 Ho 0.7546 0.6816 0.8091
12 Ho 0.2454 0.3184 0.1909


# 15
# NaSrMn2Cl8

A relaxed structure of NaSrMn2Cl8 (PBE-GGA, the Alexandria database).

Results
The total energy comes out at -4.44 eV/atom. The total magnetic moment comes out at 9.00 μB per cell. The value obtained for the uncorrected formation energy is -17.14 eV per formula unit.

abc: 7.4798 7.4798 8.1581
angles: 90.00 90.00 120.00
Site moments in Bohr magnetons follow the coordinates.
Atoms (fractional coordinates):
1 Na 0.0000 0.0000 0.5000  0.01
2 Sr 0.0000 0.0000 0.0000  0.01
3 Mn 0.6667 0.3333 0.1795  3.96
4 Mn 0.3333 0.6667 0.8205  3.96
5 Cl 0.3333 0.6667 0.0898  0.04
6 Cl 0.3227 0.1646 0.2595  0.04
7 Cl 0.8354 0.1581 0.2595  0.04
8 Cl 0.6667 0.3333 0.9102  0.04
9 Cl 0.1646 0.8419 0.7405  0.04
10 Cl 0.6773 0.8354 0.7405  0.04
11 Cl 0.1581 0.3227 0.7405  0.04
12 Cl 0.8419 0.6773 0.2595  0.04


# 16
# PaGaCl6

A relaxed structure of PaGaCl6 (PBE-GGA, the Alexandria database).

Results
The total energy comes out at -4.54 eV/atom. The total magnetic moment comes out at 0.00 μB per cell. The value obtained for the uncorrected formation energy is -12.74 eV per formula unit.

abc: 7.0339 7.0332 7.5932
angles: 62.41 62.42 59.99
Atoms (fractional coordinates):
1 Pa 0.0000 0.0000 0.0000
2 Ga 0.5000 0.5000 0.5000
3 Cl 0.0738 0.3762 0.7693
4 Cl 0.7807 0.0740 0.7692
5 Cl 0.6239 0.2192 0.2308
6 Cl 0.2193 0.9260 0.2308
7 Cl 0.9262 0.6238 0.2307
8 Cl 0.3761 0.7808 0.7692


# 17
# InP

A relaxed structure of InP (PBE-GGA, the Alexandria database).

Results
The total energy comes out at -4.01 eV/atom. The total magnetic moment comes out at 0.00 μB per cell. The formation energy comes out at 0.13 eV/f.u.

abc: 9.4723 9.4723 9.4723
angles: 20.25 20.25 20.25
Atoms (fractional coordinates):
1 In 0.1164 0.1164 0.1164
2 In 0.8836 0.8836 0.8836
3 P 0.3111 0.3111 0.3111
4 P 0.6889 0.6889 0.6889


# 18
# FeCoBr2

A relaxed structure of FeCoBr2 (PBE-GGA, the Alexandria database).

Results
The total energy comes out at -4.75 eV/atom. The total magnetic moment comes out at 5.01 μB per cell. The value obtained for the uncorrected formation energy is -0.07 eV per formula unit.

abc: 3.7933 3.7933 7.3752
angles: 83.52 83.52 60.24
Site moments in Bohr magnetons follow the coordinates.
Atoms (fractional coordinates):
1 Br 0.9952 0.9952 0.1288  0.09
2 Br 0.5869 0.5869 0.6336  0.10
3 Co 0.6354 0.6354 0.3040  1.60
4 Fe 0.2824 0.2824 0.4335  3.10


# 19
# Pa3Sn2Pt3

A relaxed structure of Pa3Sn2Pt3 (PBE-GGA, the Alexandria database).

Results
The total energy comes out at -7.51 eV/atom. The total magnetic moment comes out at 0.00 μB per cell. The formation energy comes out at -5.44 eV/f.u.

abc: 5.9975 8.6111 8.6111
angles: 120.00 90.00 90.00
Atoms (fractional coordinates):
1 Pa 0.7500 0.3088 0.0000
2 Pa 0.7500 0.6912 0.6912
3 Pa 0.7500 0.0000 0.3088
4 Pa 0.2500 0.6912 0.0000
5 Pa 0.2500 0.3088 0.3088
6 Pa 0.2500 0.0000 0.6912
7 Sn 0.0000 0.3333 0.6667
8 Sn 0.5000 0.6667 0.3333
9 Sn 0.0000 0.6667 0.3333
10 Sn 0.5000 0.3333 0.6667
11 Pt 0.7500 0.6638 0.0000
12 Pt 0.7500 0.3362 0.3362
13 Pt 0.7500 0.0000 0.6638
14 Pt 0.2500 0.3362 0.0000
15 Pt 0.2500 0.6638 0.6638
16 Pt 0.2500 0.0000 0.3362


# 20
# CdTeSe4

A relaxed structure of CdTeSe4 (PBE-GGA, the Alexandria database).

Results
The total energy comes out at -2.47 eV/atom. The total magnetic moment comes out at 0.00 μB per cell. The value obtained for the uncorrected formation energy is 3.17 eV per formula unit.

abc: 5.8270 5.8270 5.8270
angles: 60.00 60.00 60.00
Atoms (fractional coordinates):
1 Cd 0.0000 0.0000 0.0000
2 Te 0.7500 0.7500 0.7500
3 Se 0.8819 0.3727 0.3727
4 Se 0.3727 0.3727 0.8819
5 Se 0.3727 0.8819 0.3727
6 Se 0.3727 0.3727 0.3727